(1)
! SCAN Ba2LaC3O9F, single point on PBEsol structure; values from VASP
! DOS(E_F): 0.000 states/eV per atom
! formation energy from raw total energies: -2.65 eV per atom
&SYSTEM
  ibrav = 0, nat = 32, ntyp = 5
/
ATOMIC_SPECIES
Ba 137.33 Ba.upf
La 138.91 La.upf
C 12.01 C.upf
O 16.00 O.upf
F 19.00 F.upf
ATOMIC_POSITIONS crystal
Ba 0.215 0.250 0.425
Ba 0.274 0.250 0.084
Ba 0.726 0.750 0.916
Ba 0.785 0.750 0.575
La 0.227 0.250 0.738
La 0.773 0.750 0.262
C 0.214 0.750 0.227
C 0.254 0.750 0.928
C 0.332 0.750 0.628
C 0.668 0.250 0.372
C 0.746 0.250 0.072
C 0.786 0.250 0.773
O 0.120 0.532 0.237
O 0.120 0.968 0.237
O 0.134 0.750 0.993
O 0.191 0.750 0.684
O 0.322 0.530 0.898
O 0.322 0.970 0.898
O 0.391 0.750 0.201
O 0.403 0.529 0.604
O 0.403 0.971 0.604
O 0.597 0.029 0.396
O 0.597 0.471 0.396
O 0.609 0.250 0.799
O 0.678 0.030 0.102
O 0.678 0.470 0.102
O 0.809 0.250 0.316
O 0.866 0.250 0.007
O 0.880 0.032 0.763
O 0.880 0.468 0.763
F 0.018 0.750 0.428
F 0.982 0.250 0.572
CELL_PARAMETERS angstrom
6.624 0.000 0.000
0.000 5.102 0.000
-2.909 0.000 12.732

---

(2)
! SCAN Ba4MgC4N8F2, single point on PBEsol structure; values from VASP
! DOS(E_F): 0.000 states/eV per atom
! formation energy from raw total energies: -1.43 eV per atom
&SYSTEM
  ibrav = 0, nat = 38, ntyp = 5
/
ATOMIC_SPECIES
Ba 137.33 Ba.upf
Mg 24.30 Mg.upf
C 12.01 C.upf
N 14.01 N.upf
F 19.00 F.upf
ATOMIC_POSITIONS crystal
Ba 0.213 0.168 0.088
Ba 0.213 0.332 0.588
Ba 0.244 0.674 0.242
Ba 0.244 0.826 0.742
Ba 0.756 0.174 0.258
Ba 0.756 0.326 0.758
Ba 0.787 0.668 0.412
Ba 0.787 0.832 0.912
Mg 0.500 0.000 0.500
Mg 0.500 0.500 0.000
C 0.074 0.555 0.839
C 0.074 0.945 0.339
C 0.494 0.143 0.857
C 0.494 0.357 0.357
C 0.506 0.643 0.643
C 0.506 0.857 0.143
C 0.926 0.055 0.661
C 0.926 0.445 0.161
N 0.067 0.112 0.735
N 0.067 0.388 0.235
N 0.218 0.502 0.911
N 0.218 0.998 0.411
N 0.487 0.248 0.955
N 0.487 0.252 0.455
N 0.497 0.541 0.744
N 0.497 0.959 0.244
N 0.503 0.041 0.756
N 0.503 0.459 0.256
N 0.513 0.748 0.545
N 0.513 0.752 0.045
N 0.782 0.002 0.589
N 0.782 0.498 0.089
N 0.933 0.612 0.765
N 0.933 0.888 0.265
F 0.129 0.630 0.501
F 0.129 0.870 0.001
F 0.871 0.130 0.999
F 0.871 0.370 0.499
CELL_PARAMETERS angstrom
8.345 0.000 0.000
0.000 8.523 0.000
-2.750 0.000 7.937

---

(3)
! SCAN BaCNF2, single point on PBEsol structure; values from VASP
! DOS(E_F): 0.190 states/eV per atom
! formation energy from raw total energies: -0.95 eV per atom
&SYSTEM
  ibrav = 0, nat = 5, ntyp = 4
/
ATOMIC_SPECIES
Ba 137.33 Ba.upf
C 12.01 C.upf
N 14.01 N.upf
F 19.00 F.upf
ATOMIC_POSITIONS crystal
Ba 0.000 0.000 0.000
C 0.500 0.500 0.500
N 0.500 0.500 0.000
F 0.000 0.500 0.500
F 0.500 0.000 0.500
CELL_PARAMETERS angstrom
4.736 0.000 0.000
0.000 4.736 0.000
0.000 0.000 2.694

---

(4)
! SCAN BaPb2C2O6F2, single point on PBEsol structure; values from VASP
! DOS(E_F): 0.000 states/eV per atom
! formation energy from raw total energies: -2.09 eV per atom
&SYSTEM
  ibrav = 0, nat = 13, ntyp = 5
/
ATOMIC_SPECIES
Ba 137.33 Ba.upf
Pb 207.20 Pb.upf
C 12.01 C.upf
O 16.00 O.upf
F 19.00 F.upf
ATOMIC_POSITIONS crystal
Ba 0.000 0.000 0.000
Pb 0.215 0.215 0.215
Pb 0.785 0.785 0.785
C 0.430 0.430 0.430
C 0.570 0.570 0.570
O 0.279 0.714 0.714
O 0.286 0.286 0.721
O 0.286 0.721 0.286
O 0.714 0.279 0.714
O 0.714 0.714 0.279
O 0.721 0.286 0.286
F 0.311 0.311 0.311
F 0.689 0.689 0.689
CELL_PARAMETERS angstrom
2.577 1.488 7.751
-2.577 1.488 7.751
0.000 -2.975 7.751

---

(5)
! SCAN BaSmC2O6F, single point on PBEsol structure; values from VASP
! DOS(E_F): 0.000 states/eV per atom
! formation energy from raw total energies: -2.71 eV per atom
&SYSTEM
  ibrav = 0, nat = 22, ntyp = 5
/
ATOMIC_SPECIES
Ba 137.33 Ba.upf
Sm 150.36 Sm.upf
C 12.01 C.upf
O 16.00 O.upf
F 19.00 F.upf
ATOMIC_POSITIONS crystal
Ba 0.000 0.000 0.000
Ba 0.500 0.500 0.500
Sm 0.245 0.245 0.245
Sm 0.755 0.755 0.755
C 0.107 0.107 0.107
C 0.374 0.374 0.374
C 0.626 0.626 0.626
C 0.893 0.893 0.893
O 0.075 0.523 0.523
O 0.192 0.745 0.745
O 0.255 0.255 0.808
O 0.255 0.808 0.255
O 0.477 0.477 0.925
O 0.477 0.925 0.477
O 0.523 0.075 0.523
O 0.523 0.523 0.075
O 0.745 0.192 0.745
O 0.745 0.745 0.192
O 0.808 0.255 0.255
O 0.925 0.477 0.477
F 0.185 0.185 0.185
F 0.815 0.815 0.815
CELL_PARAMETERS angstrom
2.496 1.441 12.505
-2.496 1.441 12.505
0.000 -2.882 12.505

---

(6)
! SCAN BaFeC2, single point on PBEsol structure; values from VASP
! energy of formation from the pure elements: 2.12 eV/atom
! DOS(E_F): 0.348 states/eV per atom
&SYSTEM
  ibrav = 0, nat = 16, ntyp = 3
/
ATOMIC_SPECIES
Ba 137.33 Ba.upf
Fe 55.84 Fe.upf
C 12.01 C.upf
ATOMIC_POSITIONS crystal
Ba 0.000 0.000 0.000
Ba 0.000 0.500 0.500
Ba 0.500 0.000 0.500
Ba 0.500 0.500 0.000
Fe 0.000 0.000 0.500
Fe 0.000 0.500 0.000
Fe 0.500 0.000 0.000
Fe 0.500 0.500 0.500
C 0.250 0.250 0.250
C 0.250 0.250 0.750
C 0.250 0.750 0.250
C 0.250 0.750 0.750
C 0.750 0.250 0.250
C 0.750 0.250 0.750
C 0.750 0.750 0.250
C 0.750 0.750 0.750
CELL_PARAMETERS angstrom
6.168 0.000 0.000
0.000 6.168 0.000
0.000 0.000 6.168

---

The highest DOS(E_F) belongs to which entry?
BaFeC2

---

Which formula does entry 6 have?
BaFeC2